Computed, not measured: a relaxed Sr2CaSe crystal at the PBE level of DFT.

POSCAR file:
```
Sr2CaSe
1.0
-2.4233 2.4233 6.3346
2.4233 -2.4233 6.3346
2.4233 2.4233 -6.3346
Sr Ca Se
2 1 1
Cartesian
0.0000 0.0000 0.0000
0.0000 2.4233 3.1673
2.4233 0.0000 3.1673
0.0000 0.0000 6.3346
```

Calculated values
Raw formation energy (eV per atom): -0.544
SG: I-4m2 (119)



Computed, not measured: a relaxed Sr2CaSe crystal at the PBE level of DFT.

POSCAR file:
```
Sr2CaSe
1.0
-5.4968 5.4968 2.8991
5.4968 -5.4968 2.8991
5.4968 5.4968 -2.8991
Sr Ca Se
4 2 2
Cartesian
1.3093 2.7484 0.7248
-2.7484 4.1875 2.1743
-1.3093 8.2452 0.7248
2.7484 6.8061 2.1743
5.4968 0.0000 1.4496
0.0000 0.0000 2.8991
0.0000 0.0000 0.0000
0.0000 5.4968 1.4496
```

Calculated values
Raw formation energy (eV per atom): -0.721
SG: I-42d (122)



Computed, not measured: a relaxed Sr2CaSe crystal at the PBE level of DFT.

POSCAR file:
```
Sr2CaSe
1.0
-2.4893 2.4893 5.9184
2.4893 -2.4893 5.9184
2.4893 2.4893 -5.9184
Sr Ca Se
2 1 1
Cartesian
2.4893 0.0000 2.9592
0.0000 2.4893 2.9592
0.0000 0.0000 0.0000
0.0000 0.0000 5.9184
```

Calculated values
Raw formation energy (eV per atom): -0.484
SG: I4/mmm (139)



- Which of these has the lowest raw formation energy?
  number 2